DyY6Se8: relaxed, PBE.

uncorrected formation energy: -1844 meV/atom
Fermi-level density of states: 6.551 states/eV per cell

Cell and atoms, written as POSCAR:
```
DyY6Se8
1.0
0.0000 5.7566 5.7566
5.7566 0.0000 5.7566
5.7566 5.7566 0.0000
Dy Y Se
1 6 8
Direct
0.0000 0.0000 0.0000 Dy
0.0000 0.0000 0.5000 Y
0.0000 0.5000 0.0000 Y
0.0000 0.5000 0.5000 Y
0.5000 0.0000 0.0000 Y
0.5000 0.0000 0.5000 Y
0.5000 0.5000 0.0000 Y
0.2500 0.2500 0.2500 Se
0.2529 0.2529 0.7471 Se
0.2529 0.7471 0.2529 Se
0.2529 0.7471 0.7471 Se
0.7471 0.2529 0.2529 Se
0.7471 0.2529 0.7471 Se
0.7471 0.7471 0.2529 Se
0.7500 0.7500 0.7500 Se
```